No. 1
DFT (PBE-GGA) results for an optimized crystal structure of CsK2P2IrO8.

## Properties
The value obtained for the calculated total energy is -87.96 eV/cell. Its space group is P-3m1 (164). The magnetization is 0.01 μB/f.u. The calculation puts the mass density at 4.96 Mg/m³.

a b c (Å): 5.423 5.423 7.798
angles (deg): 90.00 90.00 120.00
Sites, in units of the cell vectors:
Cs 0.000 0.000 0.500
Ir 0.000 0.000 0.000
K 0.333 0.667 0.241
K 0.667 0.333 0.759
O 0.350 0.175 0.159
O 0.825 0.175 0.159
O 0.825 0.650 0.159
O 0.667 0.333 0.414
O 0.333 0.667 0.586
O 0.175 0.350 0.841
O 0.175 0.825 0.841
O 0.650 0.825 0.841
P 0.667 0.333 0.219
P 0.333 0.667 0.781

No. 2
DFT (PBE-GGA) results for an optimized crystal structure of CsLiIr.

## Properties
The value obtained for the calculated total energy is -8.43 eV/cell. Its space group is F-43m (216). The magnetization is 1.00 μB/f.u. The calculation puts the mass density at 6.76 Mg/m³.

a b c (Å): 4.868 4.868 4.868
angles (deg): 60.00 60.00 60.00
Sites, in units of the cell vectors:
Cs 0.250 0.250 0.250
Ir 0.750 0.750 0.750
Li 0.000 0.000 0.000

No. 3
DFT (PBE-GGA) results for an optimized crystal structure of CsLiIr.

## Properties
The value obtained for the calculated total energy is -8.42 eV/cell. Its space group is F-43m (216). The magnetization is 0.97 μB/f.u. The calculation puts the mass density at 6.42 Mg/m³.

a b c (Å): 4.953 4.953 4.953
angles (deg): 60.00 60.00 60.00
Sites, in units of the cell vectors:
Cs 0.250 0.250 0.250
Ir 0.000 0.000 0.000
Li 0.750 0.750 0.750

No. 4
DFT (PBE-GGA) results for an optimized crystal structure of CsLiIr.

## Properties
The value obtained for the calculated total energy is -7.25 eV/cell. Its space group is F-43m (216). The magnetization is 0.74 μB/f.u. The calculation puts the mass density at 6.78 Mg/m³.

a b c (Å): 4.863 4.863 4.863
angles (deg): 60.00 60.00 60.00
Sites, in units of the cell vectors:
Cs 0.000 0.000 0.000
Ir 0.250 0.250 0.250
Li 0.750 0.750 0.750